1.
{"formula": "Na2TlCuP", "functional": "GGA-PBE", "state": "relaxed", "lattice": [[5.506, 0.000, 0.000], [0.000, 5.506, 0.000], [0.000, 0.000, 4.327]], "species": ["Na", "Na", "P", "Cu", "Tl"], "frac_coords": [[0.000, 0.500, 0.000], [0.500, 0.000, 0.000], [0.000, 0.000, 0.000], [0.000, 0.000, 0.500], [0.500, 0.500, 0.500]], "density_g_cm3": 4.37, "e_tot_ev_per_cell": -14.722, "space_group": "P4/mmm (123)", "formation_energy_ev_per_atom": -0.042}

=====

2.
{"formula": "NaTl2CuP", "functional": "GGA-PBE", "state": "relaxed", "lattice": [[5.049, 0.000, 0.000], [0.000, 5.211, 0.000], [0.000, 0.000, 5.049]], "species": ["Cu", "Tl", "Na", "P", "Tl"], "frac_coords": [[0.000, 0.000, 0.000], [0.500, 0.000, 0.000], [0.000, 0.500, 0.000], [0.500, 0.500, 0.500], [0.000, 0.000, 0.500]], "density_g_cm3": 6.58, "e_tot_ev_per_cell": -13.484, "space_group": "P4/mmm (123)", "formation_energy_ev_per_atom": 0.415}

=====

3.
{"formula": "NaPaCu4", "functional": "GGA-PBE", "state": "relaxed", "lattice": [[5.154, 0.000, 0.000], [2.577, 4.464, 0.000], [2.577, 1.488, 4.208]], "species": ["Cu", "Cu", "Cu", "Na", "Pa", "Cu"], "frac_coords": [[0.627, 0.627, 0.627], [0.120, 0.627, 0.627], [0.627, 0.627, 0.120], [0.000, 0.000, 0.000], [0.250, 0.250, 0.250], [0.627, 0.120, 0.627]], "density_g_cm3": 8.72, "e_tot_ev_per_cell": -26.166, "space_group": "F-43m (216)", "formation_energy_ev_per_atom": 0.172}

=====

4.
{"formula": "NaPaCu2", "functional": "GGA-PBE", "state": "relaxed", "lattice": [[-2.189, -0.569, 2.026], [-1.605, -2.570, -0.181], [5.248, -5.522, 6.397]], "species": ["Cu", "Pa", "Cu", "Na"], "frac_coords": [[0.749, 0.749, 0.753], [0.000, 0.000, 0.000], [0.251, 0.251, 0.247], [0.500, 0.500, 0.500]], "density_g_cm3": 8.10, "e_tot_ev_per_cell": -17.712, "space_group": "R-3m (166)", "formation_energy_ev_per_atom": 0.324}

=====

5.
{"formula": "Na3PaCu2S6", "functional": "GGA-PBE", "state": "relaxed", "lattice": [[6.545, -0.188, 0.011], [-3.434, 5.575, 0.011], [-1.026, -1.777, 6.744]], "species": ["S", "S", "S", "S", "S", "Na", "Cu", "Na", "Cu", "Pa", "Na", "S"], "frac_coords": [[0.741, 0.741, 0.232], [0.567, 0.899, 0.793], [0.899, 0.567, 0.793], [0.101, 0.433, 0.207], [0.433, 0.101, 0.207], [0.828, 0.172, 0.500], [0.648, 0.352, 0.000], [0.500, 0.500, 0.500], [0.352, 0.648, 0.000], [0.000, 0.000, 0.000], [0.172, 0.828, 0.500], [0.259, 0.259, 0.768]], "density_g_cm3": 4.25, "e_tot_ev_per_cell": -57.343, "formation_energy_uncorrected_kj_per_mol_atoms": -88, "space_group": "C2/m (12)"}

=====

6.
{"formula": "Na2PaCuS4", "functional": "GGA-PBE", "state": "relaxed", "lattice": [[4.116, 0.000, 0.000], [0.000, 6.174, 0.219], [0.000, -2.054, 6.781]], "species": ["Pa", "S", "S", "Na", "S", "Na", "Cu", "S"], "frac_coords": [[0.000, 0.000, 0.000], [0.500, 0.742, 0.803], [0.500, 0.258, 0.197], [0.000, 0.500, 0.500], [0.000, 0.226, 0.749], [0.500, 0.000, 0.500], [0.500, 0.500, 0.000], [0.000, 0.774, 0.251]], "density_g_cm3": 4.47, "e_tot_ev_per_cell": -41.995, "formation_energy_uncorrected_kj_per_mol_atoms": -112, "space_group": "P2/m (10)"}

=====

7.
{"formula": "NaPaCu2S4", "functional": "GGA-PBE", "state": "relaxed", "lattice": [[-0.132, -6.422, -0.024], [3.741, -3.277, -3.230], [3.359, -3.295, 3.610]], "species": ["Cu", "Na", "S", "Pa", "S", "S", "S", "Cu"], "frac_coords": [[0.180, 0.320, 0.320], [0.000, 0.000, 0.000], [0.951, 0.500, 0.077], [0.500, 0.500, 0.500], [0.528, 0.500, 0.923], [0.049, 0.923, 0.500], [0.472, 0.077, 0.500], [0.820, 0.680, 0.680]], "density_g_cm3": 5.31, "e_tot_ev_per_cell": -42.259, "formation_energy_uncorrected_kj_per_mol_atoms": -81, "space_group": "I222 (23)"}

=====

8.
{"formula": "Na2Pa2CuS6", "functional": "GGA-PBE", "state": "relaxed", "lattice": [[7.130, -0.348, 0.140], [-3.826, 6.027, 0.140], [-1.097, -1.885, 6.619]], "species": ["S", "S", "Cu", "Pa", "Na", "Na", "S", "S", "S", "S", "Pa"], "frac_coords": [[0.947, 0.558, 0.271], [0.233, 0.233, 0.313], [0.000, 0.000, 0.500], [0.660, 0.340, 0.500], [0.849, 0.151, 0.000], [0.151, 0.849, 0.000], [0.053, 0.442, 0.729], [0.767, 0.767, 0.687], [0.558, 0.947, 0.271], [0.442, 0.053, 0.729], [0.340, 0.660, 0.500]], "density_g_cm3": 4.54, "e_tot_ev_per_cell": -64.725, "formation_energy_uncorrected_kj_per_mol_atoms": -125, "space_group": "C2/m (12)"}

=====

9.
{"formula": "NaPa2CuSe5", "functional": "GGA-PBE", "state": "relaxed", "lattice": [[-0.359, -5.659, 5.515], [7.778, -1.226, -0.752], [-2.459, 8.282, 2.664]], "species": ["Cu", "Se", "Se", "Na", "Se", "Se", "Pa", "Se", "Se", "Se", "Se", "Cu", "Pa", "Pa", "Se", "Se", "Pa", "Na"], "frac_coords": [[0.250, 0.750, 0.500], [0.221, 0.021, 0.741], [0.721, 0.221, 0.741], [0.750, 0.750, 0.500], [0.979, 0.479, 0.259], [0.021, 0.521, 0.741], [0.844, 0.656, 0.000], [0.521, 0.721, 0.741], [0.779, 0.979, 0.259], [0.479, 0.279, 0.259], [0.000, 0.000, 0.000], [0.750, 0.250, 0.500], [0.656, 0.156, 0.000], [0.156, 0.344, 0.000], [0.279, 0.779, 0.259], [0.500, 0.500, 0.000], [0.344, 0.844, 0.000], [0.250, 0.250, 0.500]], "density_g_cm3": 7.05, "e_tot_ev_per_cell": -103.642, "formation_energy_uncorrected_kj_per_mol_atoms": -107, "space_group": "I4/mcm (140)"}

=====

10.
{"formula": "Na3Pa3CuSe8", "functional": "GGA-PBE", "state": "relaxed", "lattice": [[8.174, 0.000, 0.000], [-4.087, 7.050, -0.022], [0.000, -4.670, 7.110]], "species": ["Se", "Pa", "Se", "Na", "Se", "Pa", "Se", "Cu", "Se", "Na", "Se", "Pa", "Se", "Se", "Na"], "frac_coords": [[0.240, 0.982, 0.722], [0.500, 0.000, 0.500], [0.257, 0.018, 0.278], [0.000, 0.000, 0.000], [0.764, 0.527, 0.281], [0.000, 0.500, 0.500], [0.760, 0.018, 0.278], [0.000, 0.000, 0.500], [0.236, 0.473, 0.719], [0.500, 0.500, 0.000], [0.743, 0.982, 0.722], [0.500, 0.500, 0.500], [0.254, 0.508, 0.262], [0.746, 0.492, 0.738], [0.000, 0.500, 0.000]], "density_g_cm3": 5.92, "e_tot_ev_per_cell": -81.390, "formation_energy_uncorrected_kj_per_mol_atoms": -109, "space_group": "C2/m (12)"}

=====

11.
{"formula": "NaPaCu2Se4", "functional": "GGA-PBE", "state": "relaxed", "lattice": [[6.689, 0.000, 0.000], [3.345, 5.259, -0.143], [3.345, 0.288, 5.253]], "species": ["Se", "Cu", "Se", "Se", "Na", "Se", "Pa", "Cu"], "frac_coords": [[0.523, 0.508, 0.924], [0.832, 0.668, 0.668], [0.045, 0.924, 0.508], [0.477, 0.076, 0.492], [0.000, 0.000, 0.000], [0.955, 0.492, 0.076], [0.500, 0.500, 0.500], [0.168, 0.332, 0.332]], "density_g_cm3": 6.25, "e_tot_ev_per_cell": -38.469, "formation_energy_uncorrected_kj_per_mol_atoms": -67, "space_group": "I222 (23)"}

=====

12.
{"formula": "Na4Pa3CuSe8", "functional": "GGA-PBE", "state": "relaxed", "lattice": [[-1.793, 3.561, -7.099], [-7.724, -3.571, 0.160], [2.348, 4.546, 6.357]], "species": ["Se", "Se", "Na", "Pa", "Na", "Se", "Cu", "Na", "Na", "Pa", "Se", "Se", "Pa", "Se", "Se", "Se"], "frac_coords": [[0.746, 0.739, 0.492], [0.750, 0.726, 0.988], [0.500, 0.000, 0.500], [0.000, 0.500, 0.500], [0.000, 0.000, 0.500], [0.760, 0.272, 0.520], [0.000, 0.500, 0.000], [0.500, 0.000, 0.000], [0.000, 0.000, 0.000], [0.500, 0.500, 0.000], [0.250, 0.274, 0.012], [0.240, 0.728, 0.480], [0.500, 0.500, 0.500], [0.254, 0.261, 0.508], [0.762, 0.274, 0.012], [0.238, 0.726, 0.988]], "density_g_cm3": 6.03, "e_tot_ev_per_cell": -84.036, "formation_energy_uncorrected_kj_per_mol_atoms": -110, "space_group": "C2/m (12)"}

=====

13.
{"formula": "Na2Pa2CuSe6", "functional": "GGA-PBE", "state": "relaxed", "lattice": [[7.329, -0.307, 0.103], [-3.889, 6.220, 0.103], [-1.185, -2.038, 7.000]], "species": ["Pa", "Se", "Se", "Se", "Na", "Se", "Se", "Se", "Na", "Cu", "Pa"], "frac_coords": [[0.339, 0.661, 0.500], [0.231, 0.231, 0.304], [0.433, 0.061, 0.730], [0.769, 0.769, 0.696], [0.155, 0.845, 0.000], [0.061, 0.433, 0.730], [0.567, 0.939, 0.270], [0.939, 0.567, 0.270], [0.845, 0.155, 0.000], [0.000, 0.000, 0.500], [0.661, 0.339, 0.500]], "density_g_cm3": 5.53, "e_tot_ev_per_cell": -58.936, "formation_energy_uncorrected_kj_per_mol_atoms": -108, "space_group": "C2/m (12)"}

=====

14.
{"formula": "Na3PaCu2Se6", "functional": "GGA-PBE", "state": "relaxed", "lattice": [[-2.577, 3.925, -4.886], [-3.367, -1.447, 5.700], [4.822, 4.925, 2.858]], "species": ["Cu", "Se", "Se", "Na", "Se", "Se", "Se", "Pa", "Cu", "Na", "Se", "Na"], "frac_coords": [[0.343, 0.657, 0.000], [0.432, 0.091, 0.210], [0.091, 0.432, 0.210], [0.168, 0.832, 0.500], [0.265, 0.265, 0.773], [0.735, 0.735, 0.227], [0.909, 0.568, 0.790], [0.000, 0.000, 0.000], [0.657, 0.343, 0.000], [0.832, 0.168, 0.500], [0.568, 0.909, 0.790], [0.500, 0.500, 0.500]], "density_g_cm3": 5.43, "e_tot_ev_per_cell": -52.336, "formation_energy_uncorrected_kj_per_mol_atoms": -79, "space_group": "C2/m (12)"}

=====

15.
{"formula": "NaPaCuTe3", "functional": "GGA-PBE", "state": "relaxed", "lattice": [[-0.197, 0.453, 4.221], [-6.795, -5.693, 0.295], [8.499, -5.552, 0.992]], "species": ["Te", "Pa", "Na", "Pa", "Na", "Te", "Te", "Te", "Cu", "Te", "Te", "Cu"], "frac_coords": [[0.750, 0.925, 0.151], [0.750, 0.316, 0.834], [0.750, 0.788, 0.725], [0.250, 0.684, 0.166], [0.250, 0.212, 0.275], [0.750, 0.426, 0.154], [0.750, 0.233, 0.527], [0.250, 0.574, 0.846], [0.250, 0.085, 0.591], [0.250, 0.767, 0.473], [0.250, 0.075, 0.849], [0.750, 0.915, 0.409]], "density_g_cm3": 6.31, "e_tot_ev_per_cell": -57.107, "formation_energy_uncorrected_kj_per_mol_atoms": -68, "space_group": "P2_1/m (11)"}

=====

16.
{"formula": "Na3PaCu2Te6", "functional": "GGA-PBE", "state": "relaxed", "lattice": [[-0.132, -5.836, 3.815], [6.074, 3.332, 0.801], [-4.983, 4.782, 4.288]], "species": ["Te", "Na", "Te", "Cu", "Pa", "Na", "Na", "Te", "Te", "Te", "Te", "Cu"], "frac_coords": [[0.603, 0.967, 0.764], [0.848, 0.152, 0.500], [0.298, 0.298, 0.817], [0.677, 0.323, 0.000], [0.000, 0.000, 0.000], [0.152, 0.848, 0.500], [0.500, 0.500, 0.500], [0.397, 0.033, 0.236], [0.033, 0.397, 0.236], [0.967, 0.603, 0.764], [0.702, 0.702, 0.183], [0.323, 0.677, 0.000]], "density_g_cm3": 5.69, "e_tot_ev_per_cell": -47.095, "formation_energy_uncorrected_kj_per_mol_atoms": -53, "space_group": "C2/m (12)"}

=====

17.
{"formula": "NaPaCuTe4", "functional": "GGA-PBE", "state": "relaxed", "lattice": [[6.581, 0.000, 0.000], [0.000, 6.307, 0.000], [-3.291, 0.000, 9.495]], "species": ["Te", "Te", "Te", "Te", "Na", "Te", "Te", "Na", "Te", "Cu", "Te", "Cu", "Pa", "Pa"], "frac_coords": [[0.554, 0.250, 0.107], [0.062, 0.750, 0.124], [0.500, 0.500, 0.500], [0.500, 0.000, 0.500], [0.390, 0.250, 0.779], [0.000, 0.000, 0.500], [0.000, 0.500, 0.500], [0.610, 0.750, 0.221], [0.938, 0.250, 0.876], [0.681, 0.250, 0.361], [0.446, 0.750, 0.893], [0.319, 0.750, 0.639], [0.891, 0.750, 0.782], [0.109, 0.250, 0.218]], "density_g_cm3": 6.98, "e_tot_ev_per_cell": -60.645, "formation_energy_uncorrected_kj_per_mol_atoms": -39, "space_group": "Cmcm (63)"}

=====

18.
{"formula": "Na4Pa3CuTe8", "functional": "GGA-PBE", "state": "relaxed", "lattice": [[-0.675, 6.066, -6.174], [-2.463, -6.414, -6.032], [-4.584, 0.766, 7.357]], "species": ["Pa", "Te", "Pa", "Te", "Te", "Te", "Pa", "Te", "Na", "Te", "Cu", "Na", "Te", "Te", "Na", "Na"], "frac_coords": [[0.500, 0.500, 0.500], [0.755, 0.726, 0.990], [0.500, 0.500, 0.000], [0.747, 0.741, 0.494], [0.762, 0.272, 0.525], [0.253, 0.259, 0.506], [0.000, 0.500, 0.500], [0.235, 0.726, 0.990], [0.000, 0.000, 0.000], [0.245, 0.274, 0.010], [0.000, 0.500, 0.000], [0.500, 0.000, 0.000], [0.765, 0.274, 0.010], [0.238, 0.728, 0.475], [0.500, 0.000, 0.500], [0.000, 0.000, 0.500]], "density_g_cm3": 6.21, "e_tot_ev_per_cell": -75.120, "formation_energy_uncorrected_kj_per_mol_atoms": -73, "space_group": "C2/m (12)"}

=====

19.
{"formula": "Na3CuPb", "functional": "GGA-PBE", "state": "relaxed", "lattice": [[-3.177, -3.360, -3.689], [-1.100, -3.794, 4.404], [-4.867, 3.051, 1.413]], "species": ["Cu", "Na", "Na", "Na", "Pb"], "frac_coords": [[0.500, 0.500, 0.500], [0.000, 0.000, 0.500], [0.500, 0.000, 0.000], [0.000, 0.500, 0.000], [0.000, 0.000, 0.000]], "density_g_cm3": 2.72, "e_tot_ev_per_cell": -8.862, "space_group": "Pm-3m (221)", "formation_energy_ev_per_atom": 0.580}

=====

20.
{"formula": "NaCuPb2", "functional": "GGA-PBE", "state": "relaxed", "lattice": [[0.000, 3.626, 3.626], [3.626, 0.000, 3.626], [3.626, 3.626, 0.000]], "species": ["Na", "Pb", "Pb", "Cu"], "frac_coords": [[0.000, 0.000, 0.000], [0.750, 0.750, 0.750], [0.250, 0.250, 0.250], [0.500, 0.500, 0.500]], "density_g_cm3": 8.72, "e_tot_ev_per_cell": -12.422, "space_group": "Fm-3m (225)", "formation_energy_ev_per_atom": 0.102}